Crystalline Mn2CrRu at its relaxed geometry, computed with PBE.

a = 2.5932 Å, b = 2.5932 Å, c = 24.8547 Å
α = 90.00°, β = 90.00°, γ = 120.00°
Space group R-3m (No. 166, hexagonal axes)
Unique sites:
Mn 0.0000 0.0000 0.2472 x6
Cr 0.0000 0.0000 0.5000 x3
Ru 0.0000 0.0000 0.0000 x3

The density of states at the Fermi level is 5.9 states/eV/f.u. The uncorrected energy comes out at -9.1024 eV per atom.

=====

Crystalline Cs3Cu2Cl9 at its relaxed geometry, computed with PBE.

a = 12.5112 Å, b = 12.5112 Å, c = 19.5332 Å
α = 90.00°, β = 90.00°, γ = 120.00°
Space group R-3c (No. 167, hexagonal axes)
Unique sites:
Cs 0.0000 0.3409 0.2500 x18
Cu 0.0000 0.0000 0.1679 x12
Cl 0.0000 0.1482 0.7500 x18
Cl 0.0015 0.1574 0.3955 x36

The density of states at the Fermi level is 0.3 states/eV/f.u. The uncorrected energy comes out at -3.0101 eV per atom. The value obtained for the raw formation energy is -1.0549 eV per atom.